Density functional theory data (PBE-GGA) for Cr3Co2Ni8 after structural relaxation.

## Properties
- energy of formation from the pure elements (eV per atom) = 0.342
- spin magnetization (Bohr magnetons per cell) = 4.2
- energy (eV/atom) = -6.5295
- SG = R-3m, No. 166

a b c (Å): 9.147 9.147 9.147
angles (deg): 28.93 28.93 28.93
Element x y z (fractional)
Cr (0.000, 0.000, 0.000)
Cr (0.184, 0.184, 0.184)
Cr (0.816, 0.816, 0.816)
Co (0.360, 0.360, 0.360)
Co (0.640, 0.640, 0.640)
Ni (0.229, 0.730, 0.730)
Ni (0.270, 0.270, 0.771)
Ni (0.270, 0.771, 0.270)
Ni (0.275, 0.275, 0.275)
Ni (0.725, 0.725, 0.725)
Ni (0.730, 0.229, 0.730)
Ni (0.730, 0.730, 0.229)
Ni (0.771, 0.270, 0.270)